(1)
Density functional theory data (PBE) for a geometry-optimized Th7Os2Pb2 structure.

Properties
Spin magnetization: 0.0 μB per formula unit
Total energy: -83.1 eV/cell
Energy above the most stable polymorph in this dataset: 133 meV per atom
E_form: -117 meV per atom

Cell lengths 7.1269, 7.0471, 7.1269 Å; angles 90.02, 105.75, 89.98 degrees
With the nearest neighbours (Å) after each atom.
Positions (direct):
Th 0.9998 0.2558 0.5003  2 Os 2.81
Th 0.5003 0.7442 0.9998  2 Os 2.81
Th 0.0002 0.7442 0.4997  2 Os 2.81
Th 0.4997 0.2558 0.0002  2 Os 2.81
Th 0.0000 0.0000 0.0000  2 Os 3.05
Th 0.5002 0.7647 0.4998  2 Os 3.11, 1 Th 3.32, 2 Pb 3.36
Th 0.4998 0.2353 0.5002  2 Os 3.11, 1 Th 3.32, 2 Pb 3.36
Os 0.7314 0.0000 0.2686  7 Th 2.81-3.11
Os 0.2686 0.0000 0.7314  7 Th 2.81-3.11
Pb 0.8243 0.5000 0.8243  1 Pb 3.02, 6 Th 3.36-3.39
Pb 0.1757 0.5000 0.1757  1 Pb 3.02, 6 Th 3.36-3.39

---

(2)
Density functional theory data (PBE) for a geometry-optimized K2CaW structure.

Properties
Spin magnetization: 1.0 μB per formula unit
Total energy: -12.4 eV/cell
Energy above the most stable polymorph in this dataset: 97 meV per atom
E_form: 1182 meV per atom

Cell lengths 10.6532, 10.6532, 5.3282 Å; angles 75.32, 75.32, 16.57 degrees
With the nearest neighbours (Å) after each atom.
Positions (direct):
Ca 0.2500 0.2500 0.2500  2 Ca 3.07, 4 W 3.07
K 0.0950 0.0950 0.9061  2 K 3.07
K 0.4050 0.4050 0.5939  2 K 3.07
W 0.7500 0.7500 0.7500  2 W 3.07, 4 Ca 3.07

---

(3)
Density functional theory data (PBE) for a geometry-optimized Y2Tc2Pt structure.

Properties
Spin magnetization: 0.0 μB per formula unit
Total energy: -82.0 eV/cell
E_form: -259 meV per atom

Cell lengths 6.8459, 6.8459, 4.4199 Å; angles 90.00, 90.00, 90.00 degrees
With the nearest neighbours (Å) after each atom.
Positions (direct):
Y 0.1833 0.6833 0.5000  6 Tc 2.93-3.05
Y 0.6833 0.8167 0.5000  6 Tc 2.93-3.05
Y 0.8167 0.3167 0.5000  6 Tc 2.93-3.05
Y 0.3167 0.1833 0.5000  6 Tc 2.93-3.05
Tc 0.3824 0.8824 0.0000  1 Tc 2.28
Tc 0.8824 0.6176 0.0000  1 Tc 2.28
Tc 0.6176 0.1176 0.0000  1 Tc 2.28
Tc 0.1176 0.3824 0.0000  1 Tc 2.28
Pt 0.0000 0.0000 0.0000  4 Tc 2.74
Pt 0.5000 0.5000 0.0000  4 Tc 2.74

---

(4)
Density functional theory data (PBE) for a geometry-optimized K2AlRh2S6 structure.

Properties
Spin magnetization: 0.0 μB per formula unit
Total energy: -54.3 eV/cell

Cell lengths 6.2139, 6.2139, 7.5924 Å; angles 97.82, 97.82, 120.50 degrees
With the nearest neighbours (Å) after each atom.
Positions (direct):
K 0.8338 0.1662 0.0000  6 S 3.15-3.18
K 0.1662 0.8338 0.0000  6 S 3.15-3.18
Al 0.0000 0.0000 0.5000  6 S 2.44-2.45
Rh 0.3334 0.6666 0.5000  6 S 2.39-2.40
Rh 0.6666 0.3334 0.5000  6 S 2.39-2.40
S 0.7164 0.7164 0.6718  2 Rh 2.40, 1 Al 2.45
S 0.0566 0.3953 0.6704  2 Rh 2.39-2.40, 1 Al 2.44
S 0.2836 0.2836 0.3282  2 Rh 2.40, 1 Al 2.45
S 0.3953 0.0566 0.6704  2 Rh 2.39-2.40, 1 Al 2.44
S 0.9434 0.6047 0.3296  2 Rh 2.39-2.40, 1 Al 2.44
S 0.6047 0.9434 0.3296  2 Rh 2.39-2.40, 1 Al 2.44

---

(5)
Density functional theory data (PBE) for a geometry-optimized CsBNO2 structure.

Properties
Spin magnetization: 0.9 μB per formula unit
Total energy: -13.6 eV/cell

Cell lengths 4.4417, 4.4417, 4.4451 Å; angles 90.00, 90.00, 90.00 degrees
With the nearest neighbours (Å) after each atom.
Positions (direct):
Cs 0.0000 0.0000 0.0000  4 O 2.22, 2 N 2.22
B 0.5000 0.5000 0.5000  4 N 3.14, 8 O 3.14
O 0.0000 0.5000 0.0000  2 Cs 2.22
O 0.5000 0.0000 0.0000  2 Cs 2.22
N 0.0000 0.0000 0.5000  2 Cs 2.22

---

(6)
Density functional theory data (PBE) for a geometry-optimized MnBeBiRu2 structure.

Properties
Spin magnetization: 0.0 μB per formula unit
Total energy: -31.2 eV/cell
E_form: 824 meV per atom

Cell lengths 4.4814, 4.1844, 4.4814 Å; angles 90.00, 90.00, 90.00 degrees
With the nearest neighbours (Å) after each atom.
Positions (direct):
Ru 0.0000 0.0000 0.5000  2 Mn 2.24
Ru 0.5000 0.0000 0.0000  2 Mn 2.24
Mn 0.0000 0.0000 0.0000  2 Be 2.09, 4 Ru 2.24
Bi 0.5000 0.5000 0.5000  8 Ru 3.07, 4 Be 3.17
Be 0.0000 0.5000 0.0000  2 Mn 2.09

---

(7)
Density functional theory data (PBE) for a geometry-optimized Zr4Be2O structure.

Properties
Spin magnetization: 0.0 μB per formula unit
Total energy: -50.5 eV/cell

Cell lengths 4.2275, 4.2275, 7.5226 Å; angles 73.68, 73.68, 90.00 degrees
With the nearest neighbours (Å) after each atom.
Positions (direct):
Be 0.3714 0.3714 0.2572  5 Zr 2.68-2.76
Be 0.6286 0.6286 0.7428  5 Zr 2.68-2.76
O 0.0000 0.0000 0.0000  4 Zr 2.11
Zr 0.1777 0.1777 0.6447  1 O 2.45, 1 Be 2.68
Zr 0.8223 0.8223 0.3553  1 O 2.45, 1 Be 2.68
Zr 0.0000 0.5000 0.0000  2 O 2.11
Zr 0.5000 0.0000 0.0000  2 O 2.11

---

(8)
Density functional theory data (PBE) for a geometry-optimized BaY3F11 structure.

Properties
Spin magnetization: 0.0 μB per formula unit
Total energy: -205.2 eV/cell
Energy above the most stable polymorph in this dataset: 0 meV per atom

Cell lengths 7.7331, 8.2215, 8.2933 Å; angles 80.11, 115.11, 116.17 degrees
With the nearest neighbours (Å) after each atom.
Positions (direct):
Ba 0.6911 0.2449 0.6644  9 F 2.64-2.82
Ba 0.3089 0.7551 0.3356  9 F 2.64-2.82
Y 0.7304 0.2533 0.2107  7 F 2.24-2.39
Y 0.2308 0.2657 0.7131  8 F 2.25-2.41
Y 0.1944 0.2507 0.1622  8 F 2.26-2.43
Y 0.8056 0.7493 0.8378  8 F 2.26-2.43
Y 0.7692 0.7343 0.2869  8 F 2.25-2.41
Y 0.2696 0.7467 0.7893  7 F 2.24-2.39
F 0.9994 0.0495 0.8294  2 Y 2.26-2.32
F 0.6384 0.9502 0.2213  2 Y 2.27-2.29
F 0.9043 0.1944 0.5000  2 Y 2.26-2.29
F 0.4260 0.2753 0.0233  3 Y 2.27-2.43, 2 F 2.49-2.54
F 0.5467 0.8759 0.6856  2 Y 2.39-2.43, 2 F 2.49-2.66
F 0.2849 0.2336 0.4708  2 Y 2.30-2.35, 1 F 2.54
F 0.0716 0.4027 0.2618  2 Y 2.24-2.28, 1 F 2.43
F 0.8251 0.1922 0.0115  2 Y 2.27-2.43, 1 F 2.43
F 0.8527 0.5997 0.1098  2 Y 2.34-2.41, 2 F 2.54-2.57
F 0.5674 0.4583 0.7694  2 Y 2.26-2.27
F 0.2370 0.5410 0.6185  2 Y 2.25
F 0.7630 0.4590 0.3815  2 Y 2.25
F 0.4326 0.5417 0.2306  2 Y 2.26-2.27
F 0.1473 0.4003 0.8902  2 Y 2.34-2.41, 2 F 2.54-2.57
F 0.1749 0.8078 0.9885  2 Y 2.27-2.43, 1 F 2.43
F 0.9284 0.5973 0.7382  2 Y 2.24-2.28, 1 F 2.43
F 0.7151 0.7664 0.5292  2 Y 2.30-2.35, 1 F 2.54
F 0.4533 0.1241 0.3144  2 Y 2.39-2.43, 2 F 2.49-2.66
F 0.5740 0.7247 0.9767  3 Y 2.27-2.43, 2 F 2.49-2.54
F 0.0957 0.8056 0.5000  2 Y 2.26-2.29
F 0.3616 0.0498 0.7787  2 Y 2.27-2.29
F 0.0006 0.9505 0.1706  2 Y 2.26-2.32